No. 1
Compound: CdIn3H
Source: the Alexandria database
Functional: PBE
Structure: optimized geometry

a = 4.781 Å, b = 4.781 Å, c = 4.781 Å
α = 90.00°, β = 90.00°, γ = 90.00°
Element x y z (fractional)
H1 0.000 0.000 0.000
Cd1 0.500 0.500 0.500
In1 0.000 0.500 0.000
In2 0.000 0.000 0.500
In3 0.500 0.000 0.000

Results
**V**: 21.85 A^3/atom
**Final energy**: -2.279 eV per atom
**N(E_F)**: 0.48 states/eV/atom


No. 2
Compound: VGeMoW
Source: the Alexandria database
Functional: PBE
Structure: optimized geometry

a = 4.400 Å, b = 4.400 Å, c = 4.400 Å
α = 60.00°, β = 60.00°, γ = 60.00°
Last column: magnetic moment on the atom in μB.
Element x y z (fractional)
Mo1 0.000 0.000 0.000  0.24
Ge1 0.750 0.750 0.750  -0.01
W1 0.250 0.250 0.250  -0.16
V1 0.500 0.500 0.500  1.06

Results
**V**: 15.06 A^3/atom
**N(E_F)**: 0.96 states/eV/atom
**Energy relative to the elements**: 1.20 kcal/mol of atoms


No. 3
Compound: ThRe3Si2
Source: the Alexandria database
Functional: PBE
Structure: optimized geometry

a = 4.224 Å, b = 7.773 Å, c = 7.586 Å
α = 116.71°, β = 90.00°, γ = 105.77°
Element x y z (fractional)
Th1 0.853 0.707 0.939
Th2 0.147 0.293 0.061
Re1 0.297 0.595 0.531
Re2 0.956 0.911 0.617
Re3 0.590 0.180 0.662
Re4 0.410 0.820 0.338
Re5 0.044 0.089 0.383
Re6 0.703 0.405 0.469
Si1 0.477 0.954 0.818
Si2 0.523 0.046 0.182
Si3 0.810 0.619 0.287
Si4 0.190 0.381 0.713

Results
**V**: 17.66 A^3/atom
**Energy relative to the elements, uncorrected**: -0.4248 eV/atom
**N(E_F)**: 0.41 states/eV/atom


No. 4
Compound: NaCr2Sb2
Source: the Alexandria database
Functional: PBE
Structure: optimized geometry

a = 8.099 Å, b = 8.099 Å, c = 3.133 Å
α = 90.00°, β = 90.00°, γ = 90.00°
Element x y z (fractional)
Sb1 0.180 0.680 0.500
Sb2 0.680 0.820 0.500
Sb3 0.820 0.320 0.500
Sb4 0.320 0.180 0.500
Na1 0.000 0.000 0.000
Na2 0.500 0.500 0.000
Cr1 0.414 0.914 0.000
Cr2 0.914 0.586 0.000
Cr3 0.586 0.086 0.000
Cr4 0.086 0.414 0.000

Results
**V**: 20.55 A^3/atom
**Energy relative to the elements, uncorrected**: 0.2893 eV/atom
**N(E_F)**: 1.35 states/eV/atom


No. 5
Compound: Mn2VGe2
Source: the Alexandria database
Functional: PBE
Structure: optimized geometry

a = 6.972 Å, b = 6.972 Å, c = 2.775 Å
α = 90.00°, β = 90.00°, γ = 90.00°
Last column: magnetic moment on the atom in μB.
Element x y z (fractional)
Ge1 0.347 0.847 0.000  -0.08
Ge2 0.847 0.653 0.000  -0.08
Ge3 0.653 0.153 0.000  -0.08
Ge4 0.153 0.347 0.000  -0.08
Mn1 0.143 0.643 0.500  2.05
Mn2 0.643 0.857 0.500  2.05
Mn3 0.857 0.357 0.500  2.05
Mn4 0.357 0.143 0.500  2.05
V1 0.000 0.000 0.000  0.06
V2 0.500 0.500 0.000  0.06

Results
**V**: 13.49 A^3/atom
**N(E_F)**: 0.86 states/eV/atom
**Energy relative to the elements**: -0.40 kcal/mol of atoms


No. 6
Compound: MnNiHg
Source: the Alexandria database
Functional: PBE
Structure: optimized geometry

a = 4.237 Å, b = 4.237 Å, c = 4.237 Å
α = 60.00°, β = 60.00°, γ = 60.00°
Last column: magnetic moment on the atom in μB.
Element x y z (fractional)
Hg1 0.000 0.000 0.000  -0.02
Mn1 0.500 0.500 0.500  3.87
Ni1 0.750 0.750 0.750  0.35

Results
**V**: 17.92 A^3/atom
**N(E_F)**: 0.42 states/eV/atom
**Energy relative to the elements**: 8.30 kcal/mol of atoms


No. 7
Compound: SmSnSeO2
Source: the Alexandria database
Functional: PBE
Structure: optimized geometry

a = 4.148 Å, b = 6.656 Å, c = 7.625 Å
α = 110.60°, β = 90.00°, γ = 90.00°
Element x y z (fractional)
Sm1 0.250 0.684 0.930
Sm2 0.750 0.316 0.070
Sn1 0.250 0.679 0.433
Sn2 0.750 0.321 0.567
Se1 0.250 0.043 0.778
Se2 0.750 0.957 0.222
O1 0.750 0.525 0.396
O2 0.250 0.475 0.604
O3 0.750 0.516 0.867
O4 0.250 0.484 0.133

Results
**V**: 19.71 A^3/atom
**Energy relative to the elements, uncorrected**: -1.9544 eV/atom
**N(E_F)**: 0.49 states/eV/atom


No. 8
Compound: Ca3Tl4Cd
Source: the Alexandria database
Functional: PBE
Structure: optimized geometry

a = 3.686 Å, b = 10.127 Å, c = 8.447 Å
α = 126.83°, β = 102.60°, γ = 90.00°
Element x y z (fractional)
Ca1 0.211 0.211 0.423
Ca2 0.789 0.789 0.577
Ca3 0.000 0.500 0.000
Tl1 0.372 0.611 0.744
Tl2 0.628 0.389 0.256
Tl3 0.628 0.868 0.256
Tl4 0.372 0.132 0.744
Cd1 0.500 0.000 0.000

Results
**V**: 30.35 A^3/atom
**N(E_F)**: 0.64 states/eV/atom
**Energy relative to the elements**: -5.53 kcal/mol of atoms